Crystalline Mn3Cr3Sn2O16 at its relaxed geometry. Source: Alexandria via LeMat-Bulk, functional GGA+U.

Output
Volume: 11.75 Å³/atom
Symmetry: No. 8
Electronic total energy: -6.94 eV/atom

Cell lengths 5.8630, 5.8630, 9.4898 Å; angles 89.90, 89.90, 59.83 degrees
Closest atoms and distances in Å follow each position.
Sites, in units of the cell vectors:
Mn  0.8290  0.8290  0.7852  6 O 1.92-1.98
Mn  0.1680  0.6632  0.2858  6 O 1.93-1.98
Mn  0.6632  0.1680  0.2858  6 O 1.93-1.98
Cr  0.3313  0.8302  0.7890  6 O 1.90-1.98
Cr  0.8302  0.3313  0.7890  6 O 1.90-1.98
Cr  0.1659  0.1659  0.2914  6 O 1.89-1.99
Sn  0.6705  0.6705  0.5077  6 O 2.05-2.15
Sn  0.3332  0.3332  0.0104  6 O 2.07-2.14
O  0.3263  0.8417  0.3909  1 Cr 1.89, 1 Mn 1.98, 1 Sn 2.07
O  0.5234  0.5234  0.6714  2 Cr 1.93, 1 Sn 2.15
O  0.6695  0.6695  0.8936  1 Mn 1.92, 2 Cr 1.98
O  0.9954  0.9954  0.6877  1 Mn 1.93, 2 Cr 1.96
O  0.9974  0.9974  0.1874  2 Mn 1.93, 1 Cr 1.98
O  0.8417  0.3263  0.3909  1 Cr 1.89, 1 Mn 1.98, 1 Sn 2.07
O  0.5183  0.9617  0.6695  1 Mn 1.93, 1 Cr 1.98, 1 Sn 2.13
O  0.9617  0.5183  0.6695  1 Mn 1.93, 1 Cr 1.98, 1 Sn 2.13
O  0.1655  0.1655  0.8876  2 Cr 1.94, 1 Sn 2.07
O  0.8428  0.8428  0.3956  2 Mn 1.95, 1 Sn 2.05
O  0.0387  0.4815  0.1713  1 Mn 1.93, 1 Cr 1.97, 1 Sn 2.13
O  0.4815  0.0387  0.1713  1 Mn 1.93, 1 Cr 1.97, 1 Sn 2.13
O  0.3380  0.3380  0.3920  2 Mn 1.93, 1 Cr 1.99
O  0.1646  0.6762  0.8923  1 Cr 1.90, 1 Mn 1.98, 1 Sn 2.07
O  0.4826  0.4826  0.1694  2 Mn 1.94, 1 Sn 2.14
O  0.6762  0.1646  0.8923  1 Cr 1.90, 1 Mn 1.98, 1 Sn 2.07